This record from OQMD via LeMat-Bulk describes an optimized crystal structure of Sr2CuB. The functional is PBE.

Calculated values
Total DFT energy (no corrections) in eV/atom: -2.6970
Space-group type: No. 216

abc: 4.862 4.862 4.862
angles: 60.00 60.00 60.00
Positions (direct):
1 Sr 0.500 0.500 0.500
2 Cu 0.000 0.000 0.000
3 Sr 0.750 0.750 0.750
4 B 0.250 0.250 0.250